*A*
The following is a PBE calculation of GaSi2As after structural relaxation, from Alexandria.

abc: 5.6243 5.6243 11.2047
angles: 90.00 90.00 90.00
Space group I-42d (No. 122)
Symmetry-distinct sites (fractional):
Ga1 0.0000 0.0000 0.0000 x4
Si1 0.2471 0.2500 0.1250 x8
As1 0.0000 0.0000 0.5000 x4

* DOS(E_F): 0.00 states/eV per cell
* magnetization: 0.000 μB per formula unit
* V: 354 Å³/cell

---

*B*
The following is a PBE calculation of GaSi2As after structural relaxation, from Alexandria.

abc: 6.4854 6.4854 6.4854
angles: 90.00 90.00 90.00
Space group Fm-3m (No. 225)
Symmetry-distinct sites (fractional):
Ga1 0.0000 0.0000 0.0000 x4
Si1 0.2500 0.2500 0.2500 x8
As1 0.0000 0.0000 0.5000 x4

* DOS(E_F): 11.53 states/eV per cell
* magnetization: 0.000 μB per formula unit
* V: 273 Å³/cell

---

Stability order, top to bottom: *A*, *B*

---

*A*
The following is a PBE calculation of Sm2GaAs after structural relaxation, from Alexandria.

abc: 3.9187 3.9187 29.0214
angles: 90.00 90.00 120.00
Space group R-3m (No. 166, hexagonal axes)
Symmetry-distinct sites (fractional):
Sm1 0.0000 0.0000 0.1064 x6
Ga1 0.0000 0.0000 0.0000 x3
As1 0.0000 0.0000 0.5000 x3

* DOS(E_F): 12.49 states/eV per cell
* magnetization: 0.000 μB per formula unit
* V: 386 Å³/cell

---

*B*
The following is a PBE calculation of Sm2GaAs after structural relaxation, from Alexandria.

abc: 4.2947 23.6097 4.1742
angles: 90.00 90.00 90.00
Space group Cmcm (No. 63)
Symmetry-distinct sites (fractional):
Sm1 0.0000 0.0664 0.2500 x4
Sm2 0.0000 0.3128 0.2500 x4
Ga1 0.0000 0.4645 0.2500 x4
As1 0.0000 0.1885 0.2500 x4

* DOS(E_F): 9.01 states/eV per cell
* magnetization: 0.000 μB per formula unit
* V: 423 Å³/cell

---

Stability order, top to bottom: *B*, *A*

---

*A*
The following is a PBE calculation of GaSn2As2 after structural relaxation, from Alexandria.

abc: 3.7850 3.7850 16.8669
angles: 90.00 90.00 90.00
Space group I4/mmm (No. 139)
Symmetry-distinct sites (fractional):
Ga1 0.0000 0.0000 0.0000 x2
Sn1 0.0000 0.0000 0.4008 x4
As1 0.0000 0.5000 0.2500 x4

* DOS(E_F): 4.33 states/eV per cell
* magnetization: 0.000 μB per formula unit
* V: 242 Å³/cell

---

*B*
The following is a PBE calculation of GaSn2As2 after structural relaxation, from Alexandria.

abc: 7.8303 7.8303 3.8549
angles: 90.00 90.00 90.00
Space group P4/mbm (No. 127)
Symmetry-distinct sites (fractional):
Ga1 0.0000 0.0000 0.0000 x2
Sn1 0.1516 0.3484 0.5000 x4
As1 0.1576 0.6576 0.0000 x4

* DOS(E_F): 4.26 states/eV per cell
* magnetization: 0.000 μB per formula unit
* V: 236 Å³/cell

---

*C*
The following is a PBE calculation of GaSn2As2 after structural relaxation, from Alexandria.

abc: 5.5814 5.5814 8.1631
angles: 90.00 90.00 90.00
Space group I4/mmm (No. 139)
Symmetry-distinct sites (fractional):
Ga1 0.0000 0.0000 0.0000 x2
Sn1 0.0000 0.5000 0.2500 x4
As1 0.0000 0.0000 0.3455 x4

* DOS(E_F): 4.43 states/eV per cell
* magnetization: 0.000 μB per formula unit
* V: 254 Å³/cell

---

Stability order, top to bottom: *B*, *C*, *A*

---

*A*
The following is a PBE calculation of Ga2SnAs2 after structural relaxation, from Alexandria.

abc: 7.7775 7.7775 3.5157
angles: 90.00 90.00 90.00
Space group P4/mbm (No. 127)
Symmetry-distinct sites (fractional):
Ga1 0.1410 0.3590 0.0000 x4
Sn1 0.0000 0.0000 0.5000 x2
As1 0.1578 0.6578 0.5000 x4

* DOS(E_F): 4.62 states/eV per cell
* magnetization: 0.000 μB per formula unit
* V: 213 Å³/cell

---

*B*
The following is a PBE calculation of Ga2SnAs2 after structural relaxation, from Alexandria.

abc: 4.9670 4.9670 8.8817
angles: 90.00 90.00 90.00
Space group I4/mmm (No. 139)
Symmetry-distinct sites (fractional):
Ga1 0.0000 0.0000 0.1395 x4
Sn1 0.0000 0.0000 0.5000 x2
As1 0.0000 0.5000 0.2500 x4

* DOS(E_F): 4.40 states/eV per cell
* magnetization: 0.000 μB per formula unit
* V: 219 Å³/cell

---

Stability order, top to bottom: *B*, *A*

---

*A*
The following is a PBE calculation of GaSnAs3 after structural relaxation, from Alexandria.

abc: 5.2939 5.2939 5.2939
angles: 90.00 90.00 90.00
Space group Pm-3m (No. 221)
Symmetry-distinct sites (fractional):
Ga1 0.0000 0.0000 0.0000 x1
Sn1 0.5000 0.5000 0.5000 x1
As1 0.0000 0.5000 0.5000 x3

* DOS(E_F): 5.33 states/eV per cell
* magnetization: 0.000 μB per formula unit
* V: 148 Å³/cell

---

*B*
The following is a PBE calculation of GaSnAs3 after structural relaxation, from Alexandria.

abc: 4.9597 4.9597 4.9597
angles: 90.00 90.00 90.00
Space group Pm-3m (No. 221)
Symmetry-distinct sites (fractional):
Ga1 0.0000 0.0000 0.0000 x1
Sn1 0.5000 0.5000 0.5000 x1
As1 0.0000 0.0000 0.5000 x3

* DOS(E_F): 4.60 states/eV per cell
* magnetization: 0.000 μB per formula unit
* V: 122 Å³/cell

---

Stability order, top to bottom: *B*, *A*

---

*A*
The following is a PBE calculation of GaSn2As after structural relaxation, from Alexandria.

abc: 4.0597 4.0597 25.0339
angles: 90.00 90.00 120.00
Space group R-3m (No. 166, hexagonal axes)
Symmetry-distinct sites (fractional):
Ga1 0.0000 0.0000 0.0000 x3
Sn1 0.0000 0.0000 0.3945 x6
As1 0.0000 0.0000 0.5000 x3

* DOS(E_F): 7.31 states/eV per cell
* magnetization: 0.000 μB per formula unit
* V: 357 Å³/cell

---

*B*
The following is a PBE calculation of GaSn2As after structural relaxation, from Alexandria.

abc: 6.2271 6.2271 12.5004
angles: 90.00 90.00 90.00
Space group I-42d (No. 122)
Symmetry-distinct sites (fractional):
Ga1 0.0000 0.0000 0.0000 x4
Sn1 0.2424 0.2500 0.1250 x8
As1 0.0000 0.0000 0.5000 x4

* DOS(E_F): 0.02 states/eV per cell
* magnetization: 0.000 μB per formula unit
* V: 485 Å³/cell

---

*C*
The following is a PBE calculation of GaSn2As after structural relaxation, from Alexandria.

abc: 7.2412 7.2412 7.2412
angles: 90.00 90.00 90.00
Space group Fm-3m (No. 225)
Symmetry-distinct sites (fractional):
Ga1 0.0000 0.0000 0.0000 x4
Sn1 0.2500 0.2500 0.2500 x8
As1 0.0000 0.0000 0.5000 x4

* DOS(E_F): 10.79 states/eV per cell
* magnetization: 0.000 μB per formula unit
* V: 380 Å³/cell

---

Stability order, top to bottom: *B*, *C*, *A*